[1]
# Ba2CaSb2O6 PBE optimized geometry
# Magnetic moment, μB/cell: 5.4
# ΔE_f (raw), eV/atom: -1.884
data_Ba2CaSb2O6
_cell_length_a 6.4741
_cell_length_b 6.4741
_cell_length_c 18.2126
_cell_angle_alpha 90.00
_cell_angle_beta 90.00
_cell_angle_gamma 120.00
_symmetry_space_group_name_H-M 'R -3 m'
_symmetry_Int_Tables_number 166
_symmetry_space_group_name_Hall '-R 3 2"'
loop_
_atom_site_label
_atom_site_type_symbol
_atom_site_fract_x
_atom_site_fract_y
_atom_site_fract_z
Ba1 Ba 0.0000 0.0000 0.2036
Ca1 Ca 0.0000 0.0000 0.0000
Sb1 Sb 0.0000 0.0000 0.4226
O1 O 0.0262 0.5131 0.7559



[2]
# Ba2CaScO6 PBE optimized geometry
# Magnetic moment, μB/cell: 3.0
# ΔE_f (raw), eV/atom: -2.353
data_Ba2CaScO6
_cell_length_a 6.1055
_cell_length_b 6.1072
_cell_length_c 6.1578
_cell_angle_alpha 119.71
_cell_angle_beta 119.71
_cell_angle_gamma 90.01
_symmetry_space_group_name_H-M 'P -1'
_symmetry_Int_Tables_number 2
loop_
_symmetry_equiv_pos_as_xyz
'x,y,z'
'-x,-y,-z'
loop_
_atom_site_label
_atom_site_type_symbol
_atom_site_fract_x
_atom_site_fract_y
_atom_site_fract_z
Ba1 Ba 0.2501 0.2503 0.9999
Ca1 Ca 0.0000 0.5000 0.5000
Sc1 Sc 0.5000 0.0000 0.5000
O1 O 0.2138 0.8114 0.5001
O2 O 0.2615 0.7603 0.0222
O3 O 0.3109 0.2858 0.4991



[3]
# Ba2CaScO5 PBE optimized geometry
# Magnetic moment, μB/cell: 4.2
# ΔE_f (raw), eV/atom: -2.695
data_Ba2CaScO5
_cell_length_a 3.7924
_cell_length_b 14.4884
_cell_length_c 11.0307
_cell_angle_alpha 90.00
_cell_angle_beta 90.00
_cell_angle_gamma 90.00
_symmetry_space_group_name_H-M 'C m c 21'
_symmetry_Int_Tables_number 36
loop_
_symmetry_equiv_pos_as_xyz
'x,y,z'
'-x,-y,z+1/2'
'-x,y,z'
'x,-y,z+1/2'
'x+1/2,y+1/2,z'
'-x+1/2,-y+1/2,z+1/2'
'-x+1/2,y+1/2,z'
'x+1/2,-y+1/2,z+1/2'
loop_
_atom_site_label
_atom_site_type_symbol
_atom_site_fract_x
_atom_site_fract_y
_atom_site_fract_z
Ba1 Ba 0.0000 0.1094 0.0000
Ba2 Ba 0.0000 0.1334 0.6128
Ca1 Ca 0.0000 0.2150 0.3253
Sc1 Sc 0.0000 0.4708 0.7852
O1 O 0.0000 0.0500 0.3533
O2 O 0.0000 0.2866 0.9596
O3 O 0.0000 0.3260 0.7081
O4 O 0.0000 0.3823 0.3125
O5 O 0.0000 0.4978 0.6070



[4]
# BaCa3Se4O12 PBE optimized geometry
# Magnetic moment, μB/cell: 0.0
# ΔE_f (raw), eV/atom: -1.431
data_BaCa3Se4O12
_cell_length_a 11.4636
_cell_length_b 11.4636
_cell_length_c 9.0134
_cell_angle_alpha 90.00
_cell_angle_beta 90.00
_cell_angle_gamma 120.00
_symmetry_space_group_name_H-M 'R 3 2'
_symmetry_Int_Tables_number 155
_symmetry_space_group_name_Hall 'R 3 2"'
loop_
_atom_site_label
_atom_site_type_symbol
_atom_site_fract_x
_atom_site_fract_y
_atom_site_fract_z
Ba1 Ba 0.0000 0.0000 0.0000
Ca1 Ca 0.0000 0.5757 0.0000
Se1 Se 0.0000 0.0000 0.5000
Se2 Se 0.0000 0.4027 0.5000
O1 O 0.0000 0.5536 0.5000
O2 O 0.0000 0.8409 0.5000
O3 O 0.0427 0.1970 0.2008



[5]
# BaCaSe2O8 PBE optimized geometry
# Magnetic moment, μB/cell: 0.0
# ΔE_f (raw), eV/atom: -1.638
data_BaCaSe2O8
_cell_length_a 5.3000
_cell_length_b 5.3000
_cell_length_c 23.5079
_cell_angle_alpha 90.00
_cell_angle_beta 90.00
_cell_angle_gamma 120.00
_symmetry_space_group_name_H-M 'R -3'
_symmetry_Int_Tables_number 148
_symmetry_space_group_name_Hall '-R 3'
loop_
_atom_site_label
_atom_site_type_symbol
_atom_site_fract_x
_atom_site_fract_y
_atom_site_fract_z
Ba1 Ba 0.0000 0.0000 0.0000
Ca1 Ca 0.0000 0.0000 0.5000
Se1 Se 0.0000 0.0000 0.2494
O1 O 0.0000 0.0000 0.3208
O2 O 0.0132 0.3079 0.7719



[6]
# BaSrCaSeO6 PBE optimized geometry
# Magnetic moment, μB/cell: 0.0
# ΔE_f (raw), eV/atom: -1.989
# Energy above the lowest structure with this stoichiometry, eV per atom: 0.142
data_BaSrCaSeO6
_cell_length_a 8.3572
_cell_length_b 8.3572
_cell_length_c 8.3572
_cell_angle_alpha 90.00
_cell_angle_beta 90.00
_cell_angle_gamma 90.00
_symmetry_space_group_name_H-M 'F -4 3 m'
_symmetry_Int_Tables_number 216
_symmetry_space_group_name_Hall 'F -4 2 3'
loop_
_atom_site_label
_atom_site_type_symbol
_atom_site_fract_x
_atom_site_fract_y
_atom_site_fract_z
Ba1 Ba 0.0000 0.0000 0.0000
Sr1 Sr 0.2500 0.2500 0.2500
Ca1 Ca 0.0000 0.0000 0.5000
Se1 Se 0.2500 0.2500 0.7500
O1 O 0.0315 0.2500 0.7500



[7]
# BaSrCaSeO6 PBE optimized geometry
# Magnetic moment, μB/cell: 0.0
# ΔE_f (raw), eV/atom: -2.131
# Energy above the lowest structure with this stoichiometry, eV per atom: 0.000
data_BaSrCaSeO6
_cell_length_a 8.2115
_cell_length_b 8.2115
_cell_length_c 8.2115
_cell_angle_alpha 90.00
_cell_angle_beta 90.00
_cell_angle_gamma 90.00
_symmetry_space_group_name_H-M 'F -4 3 m'
_symmetry_Int_Tables_number 216
_symmetry_space_group_name_Hall 'F -4 2 3'
loop_
_atom_site_label
_atom_site_type_symbol
_atom_site_fract_x
_atom_site_fract_y
_atom_site_fract_z
Ba1 Ba 0.0000 0.0000 0.0000
Sr1 Sr 0.0000 0.0000 0.5000
Ca1 Ca 0.2500 0.2500 0.7500
Se1 Se 0.2500 0.2500 0.2500
O1 O 0.0265 0.2500 0.2500



[8]
# BaCa2SiO PBE optimized geometry
# Magnetic moment, μB/cell: 0.0
# ΔE_f (raw), eV/atom: -1.255
data_BaCa2SiO
_cell_length_a 4.8605
_cell_length_b 4.8605
_cell_length_c 5.2893
_cell_angle_alpha 90.00
_cell_angle_beta 90.00
_cell_angle_gamma 90.00
_symmetry_space_group_name_H-M 'P 4/m m m'
_symmetry_Int_Tables_number 123
_symmetry_space_group_name_Hall '-P 4 2'
loop_
_atom_site_label
_atom_site_type_symbol
_atom_site_fract_x
_atom_site_fract_y
_atom_site_fract_z
Ba1 Ba 0.0000 0.0000 0.0000
Ca1 Ca 0.0000 0.5000 0.5000
Si1 Si 0.5000 0.5000 0.0000
O1 O 0.0000 0.0000 0.5000



[9]
# BaCa2Si3O9 PBE optimized geometry
# Magnetic moment, μB/cell: 0.0
# ΔE_f (raw), eV/atom: -3.009
data_BaCa2Si3O9
_cell_length_a 6.7629
_cell_length_b 6.8640
_cell_length_c 9.7198
_cell_angle_alpha 88.35
_cell_angle_beta 69.96
_cell_angle_gamma 77.74
_symmetry_space_group_name_H-M 'P -1'
_symmetry_Int_Tables_number 2
loop_
_symmetry_equiv_pos_as_xyz
'x,y,z'
'-x,-y,-z'
loop_
_atom_site_label
_atom_site_type_symbol
_atom_site_fract_x
_atom_site_fract_y
_atom_site_fract_z
Ba1 Ba 0.1671 0.4482 0.1522
Ca1 Ca 0.2262 0.9367 0.8280
Ca2 Ca 0.2773 0.2162 0.4885
Si1 Si 0.2299 0.7363 0.4802
Si2 Si 0.2926 0.9404 0.1945
Si3 Si 0.3778 0.4025 0.7757
O1 O 0.0352 0.6458 0.5850
O2 O 0.1391 0.8631 0.3539
O3 O 0.1529 0.0079 0.0893
O4 O 0.2288 0.5997 0.8741
O5 O 0.2348 0.2663 0.7358
O6 O 0.3369 0.8725 0.5558
O7 O 0.4020 0.1117 0.2314
O8 O 0.4238 0.5467 0.3722
O9 O 0.4822 0.7291 0.1236



[10]
# Ba3CaSi2O8 PBE optimized geometry
# Magnetic moment, μB/cell: 0.0
# ΔE_f (raw), eV/atom: -2.995
data_Ba3CaSi2O8
_cell_length_a 5.8485
_cell_length_b 5.8485
_cell_length_c 7.4772
_cell_angle_alpha 90.00
_cell_angle_beta 90.00
_cell_angle_gamma 120.00
_symmetry_space_group_name_H-M 'P -3 m 1'
_symmetry_Int_Tables_number 164
_symmetry_space_group_name_Hall '-P 3 2"'
loop_
_atom_site_label
_atom_site_type_symbol
_atom_site_fract_x
_atom_site_fract_y
_atom_site_fract_z
Ba1 Ba 0.0000 0.0000 0.0000
Ba2 Ba 0.3333 0.6667 0.6728
Ca1 Ca 0.0000 0.0000 0.5000
Si1 Si 0.3333 0.6667 0.2239
O1 O 0.1809 0.3618 0.3081
O2 O 0.3333 0.6667 0.0074



[11]
# Ba2CaSiO PBE optimized geometry
# Magnetic moment, μB/cell: 0.0
# ΔE_f (raw), eV/atom: -1.183
data_Ba2CaSiO
_cell_length_a 5.4464
_cell_length_b 5.4464
_cell_length_c 4.7891
_cell_angle_alpha 90.00
_cell_angle_beta 90.00
_cell_angle_gamma 90.00
_symmetry_space_group_name_H-M 'P 4/m m m'
_symmetry_Int_Tables_number 123
_symmetry_space_group_name_Hall '-P 4 2'
loop_
_atom_site_label
_atom_site_type_symbol
_atom_site_fract_x
_atom_site_fract_y
_atom_site_fract_z
Ba1 Ba 0.0000 0.5000 0.0000
Ca1 Ca 0.0000 0.0000 0.5000
Si1 Si 0.5000 0.5000 0.5000
O1 O 0.0000 0.0000 0.0000



E, record by record: -5.87; -6.55; -6.80; -5.50; -5.85; -5.87; -6.02; -4.52; -7.46; -7.16; -4.43 eV per atom